TlSn3Br: optimized geometry, GGA-PBEsol.

Calculated values
**N(E_F)**: 6.05 states/eV/f.u.
**SG**: Pm-3m (221)
**Formation energy without anion corrections**: 2.99 eV/f.u.
**Magnetic moment**: 0.00 μB per formula unit

```
data_TlSn3Br
_space_group_name_H-M_alt 'P 1'
_space_group_IT_number 1
_space_group_name_Hall 'P 1'
_cell_length_a 5.7173
_cell_length_b 5.7173
_cell_length_c 5.7173
_cell_angle_alpha 90.00
_cell_angle_beta 90.00
_cell_angle_gamma 90.00
loop_
_atom_site_label
_atom_site_fract_x
_atom_site_fract_y
_atom_site_fract_z
_atom_site_occupancy
Tl1 0.0000 0.0000 0.0000 1
Sn1 0.0000 0.0000 0.5000 1
Sn2 0.0000 0.5000 0.0000 1
Sn3 0.5000 0.0000 0.0000 1
Br1 0.5000 0.5000 0.5000 1
```

Y3SnBr: optimized geometry, GGA-PBEsol.

Calculated values
**N(E_F)**: 7.57 states/eV/f.u.
**SG**: Pm-3m (221)
**Formation energy without anion corrections**: 0.49 eV/f.u.
**Magnetic moment**: 0.00 μB per formula unit

```
data_Y3SnBr
_space_group_name_H-M_alt 'P 1'
_space_group_IT_number 1
_space_group_name_Hall 'P 1'
_cell_length_a 5.6869
_cell_length_b 5.6869
_cell_length_c 5.6869
_cell_angle_alpha 90.00
_cell_angle_beta 90.00
_cell_angle_gamma 90.00
loop_
_atom_site_label
_atom_site_fract_x
_atom_site_fract_y
_atom_site_fract_z
_atom_site_occupancy
Y1 0.0000 0.0000 0.5000 1
Y2 0.0000 0.5000 0.0000 1
Y3 0.5000 0.0000 0.0000 1
Sn1 0.0000 0.0000 0.0000 1
Br1 0.5000 0.5000 0.5000 1
```

Zn3SnBr: optimized geometry, GGA-PBEsol.

Calculated values
**N(E_F)**: 3.02 states/eV/f.u.
**SG**: Pm-3m (221)
**Relative energy among the computed polymorphs**: 0.491 eV per atom
**Formation energy without anion corrections**: 3.49 eV/f.u.
**Magnetic moment**: 0.00 μB per formula unit

```
data_Zn3SnBr
_space_group_name_H-M_alt 'P 1'
_space_group_IT_number 1
_space_group_name_Hall 'P 1'
_cell_length_a 5.0049
_cell_length_b 5.0049
_cell_length_c 5.0049
_cell_angle_alpha 90.00
_cell_angle_beta 90.00
_cell_angle_gamma 90.00
loop_
_atom_site_label
_atom_site_fract_x
_atom_site_fract_y
_atom_site_fract_z
_atom_site_occupancy
Zn1 0.0000 0.0000 0.5000 1
Zn2 0.0000 0.5000 0.0000 1
Zn3 0.5000 0.0000 0.0000 1
Sn1 0.5000 0.5000 0.5000 1
Br1 0.0000 0.0000 0.0000 1
```